Record 1
First-principles (PBE) data for a geometry-optimized Y2Co2Pd structure, as listed in Alexandria via LeMat-Bulk.

Cell: 7.7950 7.7950 3.3134 Å, 90.00 90.00 90.00°
Last column: nearest neighbours and their distance in Å.
Fractional coordinates of all 10 atoms:
Pd (0.5000, 0.5000, 0.0000)  4 Y 2.86
Pd (0.0000, 0.0000, 0.0000)  4 Y 2.86
Y (0.8182, 0.6818, 0.0000)  6 Co 2.84-2.90, 2 Pd 2.86
Y (0.3182, 0.8182, 0.0000)  6 Co 2.84-2.90, 2 Pd 2.86
Y (0.1818, 0.3182, 0.0000)  6 Co 2.84-2.90, 2 Pd 2.86
Y (0.6818, 0.1818, 0.0000)  6 Co 2.84-2.90, 2 Pd 2.86
Co (0.6024, 0.8976, 0.5000)  1 Co 2.26
Co (0.1024, 0.6024, 0.5000)  1 Co 2.26
Co (0.8976, 0.3976, 0.5000)  1 Co 2.26
Co (0.3976, 0.1024, 0.5000)  1 Co 2.26

ΔE to the lowest computed polymorph	390	meV/atom
calculated formation energy	0.06	eV/atom
space group	P4/mbm (127)

Record 2
First-principles (PBE) data for a geometry-optimized MnSb4As structure, as listed in Alexandria via LeMat-Bulk.

Cell: 6.1404 6.1404 6.1404 Å, 60.00 60.00 60.00°
Last column: nearest neighbours and their distance in Å.
Fractional coordinates of all 6 atoms:
As (0.7500, 0.7500, 0.7500)  12 Sb 3.60, 4 Mn 3.76
Sb (0.3749, 0.3749, 0.8752)  6 Sb 3.07
Sb (0.8752, 0.3749, 0.3749)  6 Sb 3.07
Sb (0.3749, 0.8752, 0.3749)  6 Sb 3.07
Sb (0.3749, 0.3749, 0.3749)  6 Sb 3.07
Mn (0.0000, 0.0000, 0.0000)  12 Sb 3.60, 4 As 3.76

formation energy without anion corrections	0.6962	eV per atom
space group	F-43m (216)

Record 3
First-principles (PBE) data for a geometry-optimized SmPa2Tc3 structure, as listed in Alexandria via LeMat-Bulk.

Cell: 3.4649 3.4649 10.4514 Å, 90.00 90.00 90.00°
Last column: nearest neighbours and their distance in Å.
Fractional coordinates of all 6 atoms:
Tc (0.0000, 0.0000, 0.2976)  4 Pa 2.80, 1 Tc 3.11
Tc (0.0000, 0.0000, 0.0000)  8 Pa 3.01, 2 Tc 3.11
Tc (0.0000, 0.0000, 0.7024)  4 Pa 2.80, 1 Tc 3.11
Pa (0.5000, 0.5000, 0.8323)  8 Tc 2.80-3.01
Pa (0.5000, 0.5000, 0.1677)  8 Tc 2.80-3.01
Sm (0.5000, 0.5000, 0.5000)  8 Tc 3.24, 4 Sm 3.46, 2 Pa 3.47

calculated formation energy	-0.17	eV/atom
space group	P4/mmm (123)

Record 4
First-principles (PBE) data for a geometry-optimized CaTlCr2 structure, as listed in Alexandria via LeMat-Bulk.

Cell: 4.5212 4.5212 5.9285 Å, 67.61 67.61 59.98°
Last column: nearest neighbours and their distance in Å.
Fractional coordinates of all 4 atoms:
Tl (0.4670, 0.4670, 0.5988)  6 Cr 2.87-2.93
Ca (0.2572, 0.2572, 0.2284)  4 Tl 3.27-3.35, 7 Cr 3.30-3.38
Cr (0.0508, 0.0508, 0.8477)  3 Cr 2.61
Cr (0.7249, 0.7249, 0.8251)  3 Cr 2.61, 3 Tl 2.87

ΔE to the lowest computed polymorph	86	meV/atom
calculated formation energy	0.37	eV/atom
space group	R3m (160)

Record 5
First-principles (PBE) data for a geometry-optimized ZrPaHg structure, as listed in Alexandria via LeMat-Bulk.

Cell: 5.0054 5.0054 6.4768 Å, 90.00 90.00 120.00°
Last column: nearest neighbours and their distance in Å.
Fractional coordinates of all 6 atoms:
Pa (0.6667, 0.3333, 0.5739)  3 Pa 3.04, 3 Zr 3.07, 2 Hg 3.16-3.31
Pa (0.3333, 0.6667, 0.4261)  3 Pa 3.04, 3 Zr 3.07, 2 Hg 3.16-3.31
Zr (0.0000, 0.0000, 0.7332)  1 Zr 3.02, 3 Pa 3.07, 3 Hg 3.12
Zr (0.0000, 0.0000, 0.2668)  1 Zr 3.02, 3 Pa 3.07, 3 Hg 3.12
Hg (0.3333, 0.6667, 0.9144)  3 Hg 3.10, 3 Zr 3.12, 2 Pa 3.16-3.31
Hg (0.6667, 0.3333, 0.0856)  3 Hg 3.10, 3 Zr 3.12, 2 Pa 3.16-3.31

ΔE to the lowest computed polymorph	198	meV/atom
calculated formation energy	0.15	eV/atom
space group	P-3m1 (164)

Record 6
First-principles (PBE) data for a geometry-optimized Zr7Co3 structure, as listed in Alexandria via LeMat-Bulk.

Cell: 5.5979 8.9482 8.9482 Å, 120.00 90.00 90.00°
Last column: nearest neighbours and their distance in Å.
Fractional coordinates of all 20 atoms:
Co (0.8732, 0.1888, 0.8112)  6 Zr 2.55-2.65
Co (0.8732, 0.1888, 0.3775)  6 Zr 2.55-2.65
Co (0.3732, 0.3775, 0.1888)  6 Zr 2.55-2.65
Co (0.8732, 0.6225, 0.8112)  6 Zr 2.55-2.65
Co (0.3732, 0.8112, 0.1888)  6 Zr 2.55-2.65
Co (0.3732, 0.8112, 0.6225)  6 Zr 2.55-2.65
Zr (0.6258, 0.5390, 0.0779)  2 Co 2.55
Zr (0.6258, 0.9221, 0.4610)  2 Co 2.55
Zr (0.4289, 0.7408, 0.8704)  3 Co 2.61-2.65
Zr (0.1258, 0.4610, 0.9221)  2 Co 2.55
Zr (0.1258, 0.4610, 0.5390)  2 Co 2.55
Zr (0.1258, 0.0779, 0.5390)  2 Co 2.55
Zr (0.4289, 0.1296, 0.8704)  3 Co 2.61-2.65
Zr (0.9289, 0.2592, 0.1296)  3 Co 2.61-2.65
Zr (0.6243, 0.3333, 0.6667)  3 Co 2.64
Zr (0.9289, 0.8704, 0.1296)  3 Co 2.61-2.65
Zr (0.1243, 0.6667, 0.3333)  3 Co 2.64
Zr (0.6258, 0.5390, 0.4610)  2 Co 2.55
Zr (0.9289, 0.8704, 0.7408)  3 Co 2.61-2.65
Zr (0.4289, 0.1296, 0.2592)  3 Co 2.61-2.65

calculated formation energy	-0.25	eV/atom
space group	P6_3mc (186)

Record 7
First-principles (PBE) data for a geometry-optimized Sr3LiRh structure, as listed in Alexandria via LeMat-Bulk.

Cell: 8.2811 8.2811 8.2811 Å, 60.18 60.18 60.18°
Last column: nearest neighbours and their distance in Å.
Fractional coordinates of all 10 atoms:
Sr (0.5463, 0.0792, 0.0137)  2 Rh 2.94
Sr (0.5792, 0.0463, 0.5137)  2 Rh 2.94
Sr (0.0463, 0.5137, 0.5792)  2 Rh 2.94
Sr (0.5137, 0.5792, 0.0463)  2 Rh 2.94
Sr (0.0792, 0.0137, 0.5463)  2 Rh 2.94
Sr (0.0137, 0.5463, 0.0792)  2 Rh 2.94
Li (0.5459, 0.5459, 0.5459)  9 Sr 3.88-4.16
Li (0.0459, 0.0459, 0.0459)  9 Sr 3.88-4.16
Rh (0.2965, 0.2965, 0.2965)  6 Sr 2.94
Rh (0.7965, 0.7965, 0.7965)  6 Sr 2.94

ΔE to the lowest computed polymorph	46	meV/atom
calculated formation energy	-0.10	eV/atom
space group	R3c (161)

Record 8
First-principles (PBE) data for a geometry-optimized NdTm2Cd3 structure, as listed in Alexandria via LeMat-Bulk.

Cell: 5.2512 8.3271 7.6370 Å, 90.00 90.00 71.62°
Last column: nearest neighbours and their distance in Å.
Fractional coordinates of all 12 atoms:
Cd (0.1633, 0.6734, 0.2637)  5 Tm 3.15-3.27, 3 Nd 3.31-3.38
Cd (0.8367, 0.3266, 0.7363)  5 Tm 3.15-3.27, 3 Nd 3.31-3.38
Cd (0.5000, 0.0000, 0.7355)  6 Tm 3.18-3.31, 2 Nd 3.30
Cd (0.8367, 0.3266, 0.2637)  5 Tm 3.15-3.27, 3 Nd 3.31-3.38
Cd (0.1633, 0.6734, 0.7363)  5 Tm 3.15-3.27, 3 Nd 3.31-3.38
Cd (0.5000, 0.0000, 0.2645)  6 Tm 3.18-3.31, 2 Nd 3.30
Tm (0.0000, 0.0000, 0.5000)  8 Cd 3.15-3.18
Tm (0.6694, 0.6612, 0.5000)  8 Cd 3.19-3.23
Tm (0.3306, 0.3388, 0.5000)  8 Cd 3.19-3.23
Tm (0.0000, 0.0000, 0.0000)  8 Cd 3.27-3.31
Nd (0.6648, 0.6704, 0.0000)  8 Cd 3.30-3.38
Nd (0.3352, 0.3296, 0.0000)  8 Cd 3.30-3.38

ΔE to the lowest computed polymorph	3	meV/atom
calculated formation energy	-0.31	eV/atom
space group	Cmmm (65)

Record 9
First-principles (PBE) data for a geometry-optimized KZnRu2 structure, as listed in Alexandria via LeMat-Bulk.

Cell: 4.9363 4.9363 6.4365 Å, 82.42 82.42 32.52°
Last column: nearest neighbours and their distance in Å.
Fractional coordinates of all 4 atoms:
Ru (0.0246, 0.0246, 0.9022)  4 Ru 2.49-2.76, 2 Zn 2.62
Ru (0.4754, 0.4754, 0.5978)  4 Ru 2.49-2.76, 2 Zn 2.62
Zn (0.7500, 0.7500, 0.7500)  6 Ru 2.62-2.90, 2 Zn 2.76
K (0.2500, 0.2500, 0.2500)  2 K 2.76

calculated formation energy	0.74	eV/atom
space group	C2/m (12)

Record 10
First-principles (PBE) data for a geometry-optimized KCa2Ni structure, as listed in Alexandria via LeMat-Bulk.

Cell: 8.2752 8.2752 8.3506 Å, 60.30 60.30 90.00°
Last column: nearest neighbours and their distance in Å.
Fractional coordinates of all 8 atoms:
Ca (0.3750, 0.1273, 0.7500)  2 Ni 2.55
Ca (0.8773, 0.6250, 0.2500)  2 Ni 2.55
Ca (0.8750, 0.1227, 0.7500)  2 Ni 2.55
Ca (0.8727, 0.1250, 0.2500)  2 Ni 2.55
Ni (0.0000, 0.0000, 0.0000)  4 Ca 2.55
Ni (0.7500, 0.2500, 0.5000)  4 Ca 2.55
K (0.5000, 0.5000, 0.0000)  12 Ca 4.84-4.92, 4 K 5.10, 4 Ni 5.10
K (0.2500, 0.7500, 0.5000)  12 Ca 4.84-4.92, 4 K 5.10, 4 Ni 5.10

ΔE to the lowest computed polymorph	285	meV/atom
calculated formation energy	0.35	eV/atom
space group	I-42d (122)

Record 11
First-principles (PBE) data for a geometry-optimized Be2OsRu structure, as listed in Alexandria via LeMat-Bulk.

Cell: 2.7905 2.7905 5.6803 Å, 90.00 90.00 90.00°
Last column: nearest neighbours and their distance in Å.
Fractional coordinates of all 4 atoms:
Be (0.0000, 0.0000, 0.0322)  4 Be 2.23, 4 Ru 2.44
Be (0.5000, 0.5000, 0.2161)  4 Be 2.23, 4 Os 2.46, 1 Ru 2.49
Os (0.0000, 0.0000, 0.4733)  5 Be 2.46-2.51, 4 Ru 2.63
Ru (0.5000, 0.5000, 0.7784)  5 Be 2.44-2.49, 4 Os 2.63

ΔE to the lowest computed polymorph	0	meV/atom
calculated formation energy	-0.23	eV/atom
space group	P4mm (99)

Record 12
First-principles (PBE) data for a geometry-optimized V3PW structure, as listed in Alexandria via LeMat-Bulk.

Cell: 5.4320 4.7245 5.5122 Å, 90.00 88.62 90.00°
Last column: nearest neighbours and their distance in Å.
Fractional coordinates of all 10 atoms:
V (0.0354, 0.4203, 0.4798)  2 P 2.39-2.48, 2 V 2.44-2.67
V (0.8110, 0.9280, 0.6226)  2 P 2.36-2.50, 1 V 2.44
V (0.8649, 0.4137, 0.9374)  2 P 2.38-2.43, 2 W 2.54-2.65, 2 V 2.65-2.67
V (0.5355, 0.9325, 0.9798)  2 P 2.39-2.47, 2 V 2.44-2.67
V (0.3110, 0.4248, 0.1226)  2 P 2.36-2.50, 1 V 2.44
V (0.3649, 0.9391, 0.4374)  2 P 2.38-2.43, 2 W 2.54-2.65, 2 V 2.65-2.67
W (0.4929, 0.4067, 0.6678)  2 P 2.43-2.47, 4 V 2.54-2.72
W (0.9929, 0.9461, 0.1678)  2 P 2.43-2.47, 4 V 2.54-2.72
P (0.1739, 0.7519, 0.7962)  6 V 2.36-2.50, 2 W 2.43-2.47
P (0.6739, 0.6009, 0.2962)  6 V 2.36-2.50, 2 W 2.43-2.47

ΔE to the lowest computed polymorph	0	meV/atom
calculated formation energy	-0.21	eV/atom
space group	Pc (7)

Calculated ρ in order - 6.6, 6.3, 12.0, 6.1, 12.4, 7.0, 3.1, 8.6, 6.1, 1.4, 11.6, 8.6 g/cm3